DFT (PBE) results for SmHoPb2 after structural relaxation.

Lattice parameters (Å, degrees): 4.459 6.297 6.297 42.35 90.00 90.00
Element x y z (fractional)
1 Pb 0.000 0.900 0.900
2 Pb 0.500 0.100 0.100
3 Ho 0.500 0.370 0.370
4 Sm 0.000 0.630 0.630

## Properties
The calculation puts the calculated volume at 29.781 Å³/atom. The calculation puts the total energy at -4.674 eV per atom.



DFT (PBE) results for NaSrCoW after structural relaxation.

Lattice parameters (Å, degrees): 4.761 4.761 4.761 60.00 60.00 60.00
Element x y z (fractional)
1 Sr 0.500 0.500 0.500
2 Co 0.000 0.000 0.000
3 Na 0.750 0.750 0.750
4 W 0.250 0.250 0.250

## Properties
The calculation puts the calculated volume at 19.072 Å³/atom. The calculation puts the total energy at -4.473 eV per atom. The energy above the most stable polymorph in this dataset comes out at 0.073 eV per formula unit.



DFT (PBE) results for YScZn2In2 after structural relaxation.

Lattice parameters (Å, degrees): 9.197 4.594 13.784 90.00 109.41 90.00
Element x y z (fractional)
1 Zn 0.878 0.000 0.257
2 In 0.563 0.000 0.125
3 Y 0.314 0.500 0.126
4 Y 0.812 0.500 0.125
5 Sc 0.688 0.000 0.375
6 Sc 0.562 0.500 0.625
7 Zn 0.617 0.000 0.746
8 Zn 0.379 0.000 0.257
9 In 0.938 0.500 0.377
10 Zn 0.498 0.500 0.995
11 In 0.805 0.000 0.622
12 In 0.065 0.000 0.129
13 In 0.680 0.500 0.870
14 Zn 0.000 0.500 0.000
15 In 0.439 0.500 0.378
16 Sc 0.188 0.000 0.376
17 In 0.192 0.500 0.875
18 Zn 0.133 0.000 0.752
19 Zn 0.255 0.500 0.498
20 Zn 0.743 0.500 0.497
21 In 0.316 0.000 0.623
22 Y 0.061 0.500 0.624
23 Y 0.936 0.000 0.873
24 Sc 0.438 0.000 0.875

## Properties
The calculation puts the calculated volume at 22.884 Å³/atom. The calculation puts the total energy at -3.818 eV per atom.



DFT (PBE) results for CsHfFe after structural relaxation.

Lattice parameters (Å, degrees): 4.599 4.599 4.599 60.00 60.00 60.00
Element x y z (fractional)
1 Fe 0.250 0.250 0.250
2 Cs 0.000 0.000 0.000
3 Hf 0.750 0.750 0.750

## Properties
The calculation puts the calculated volume at 22.930 Å³/atom. The calculation puts the total energy at -3.941 eV per atom.



DFT (PBE) results for HoTlCdTe3 after structural relaxation.

Lattice parameters (Å, degrees): 11.670 4.453 15.379 90.00 90.00 90.00
Element x y z (fractional)
1 Te 0.463 0.250 0.384
2 Te 0.239 0.250 0.669
3 Tl 0.235 0.250 0.989
4 Ho 0.012 0.750 0.252
5 Te 0.537 0.750 0.616
6 Te 0.940 0.750 0.611
7 Ho 0.488 0.250 0.752
8 Te 0.963 0.250 0.116
9 Te 0.037 0.750 0.884
10 Tl 0.265 0.750 0.489
11 Tl 0.765 0.750 0.011
12 Te 0.060 0.250 0.389
13 Cd 0.741 0.750 0.715
14 Te 0.261 0.750 0.169
15 Te 0.739 0.250 0.831
16 Ho 0.512 0.750 0.248
17 Tl 0.735 0.250 0.511
18 Te 0.560 0.250 0.111
19 Cd 0.241 0.750 0.785
20 Te 0.761 0.750 0.331
21 Cd 0.759 0.250 0.215
22 Ho 0.988 0.250 0.748
23 Cd 0.259 0.250 0.285
24 Te 0.440 0.750 0.889

## Properties
The calculation puts the calculated volume at 33.301 Å³/atom. The calculation puts the total energy at -3.687 eV per atom. The energy above the most stable polymorph in this dataset comes out at 0.006 eV per formula unit.



DFT (PBE) results for TaTc2Ag after structural relaxation.

Lattice parameters (Å, degrees): 4.500 4.500 4.500 60.00 60.00 60.00
Element x y z (fractional)
1 Ag 0.750 0.750 0.750
2 Ta 0.500 0.500 0.500
3 Tc 0.000 0.000 0.000
4 Tc 0.250 0.250 0.250

## Properties
The calculation puts the calculated volume at 16.107 Å³/atom. The calculation puts the total energy at -8.457 eV per atom. The calculated formation energy is 0.39 eV per atom.



DFT (PBE) results for CuAg3 after structural relaxation.

Lattice parameters (Å, degrees): 4.942 2.872 9.429 90.00 100.85 90.00
Element x y z (fractional)
1 Ag 0.139 0.500 0.885
2 Ag 0.618 0.500 0.365
3 Cu 0.377 0.000 0.121
4 Ag 0.861 0.500 0.115
5 Ag 0.875 0.000 0.629
6 Ag 0.125 0.000 0.371
7 Cu 0.623 0.000 0.879
8 Ag 0.382 0.500 0.635

## Properties
The calculation puts the calculated volume at 16.428 Å³/atom. The calculation puts the total energy at -2.979 eV per atom. The calculated formation energy is 0.07 eV per atom.



DFT (PBE) results for Y2Nb4P3C3 after structural relaxation.

Lattice parameters (Å, degrees): 5.903 5.903 12.592 103.46 103.46 60.08
Element x y z (fractional)
1 P 0.220 0.417 0.749
2 C 0.000 0.500 0.000
3 P 0.780 0.583 0.251
4 P 0.943 0.057 0.750
5 C 0.500 0.000 0.500
6 Nb 0.203 0.030 0.598
7 Y 0.377 0.537 0.111
8 Nb 0.970 0.797 0.902
9 Nb 0.797 0.970 0.402
10 C 0.855 0.323 0.500
11 Nb 0.139 0.299 0.402
12 Y 0.463 0.623 0.389
13 P 0.583 0.780 0.751
14 Nb 0.861 0.701 0.598
15 Nb 0.299 0.139 0.902
16 Nb 0.030 0.203 0.098
17 Y 0.623 0.463 0.889
18 C 0.323 0.855 0.000
19 C 0.145 0.677 0.500
20 P 0.417 0.220 0.249
21 Y 0.537 0.377 0.611
22 Nb 0.701 0.861 0.098
23 C 0.677 0.145 0.000
24 P 0.057 0.943 0.250

## Properties
The calculation puts the calculated volume at 15.265 Å³/atom. The calculation puts the total energy at -8.809 eV per atom.